Record 1
Here is a relaxed structure of Tb4Te3Se2 from the Alexandria database. Energies are from PBE.

Cell lengths 4.0499, 7.4716, 9.2028 Å; angles 98.77, 90.00, 105.72 degrees
Sites, in units of the cell vectors:
Tb 0.6601 0.3202 0.1078
Tb 0.0705 0.1411 0.6768
Tb 0.9295 0.8589 0.3232
Tb 0.3399 0.6798 0.8922
Te 0.3988 0.7976 0.5881
Te 0.0000 0.0000 0.0000
Te 0.6012 0.2024 0.4119
Se 0.2969 0.5939 0.1905
Se 0.7031 0.4061 0.8095

The uncorrected formation energy is -1.542 eV per atom.

---

Record 2
Here is a relaxed structure of TbHo8Er4 from the Alexandria database. Energies are from PBE.

Cell lengths 7.2014, 7.2014, 9.9172 Å; angles 90.00, 111.29, 120.00 degrees
Sites, in units of the cell vectors:
Tb 0.0000 0.5000 0.5000
Ho 0.5671 0.7835 0.3506
Ho 0.4329 0.2165 0.6494
Ho 0.4988 0.2494 0.3019
Ho 0.9475 0.1969 0.6981
Ho 0.5012 0.7506 0.6981
Ho 0.9475 0.7506 0.6981
Ho 0.0525 0.2494 0.3019
Ho 0.0525 0.8031 0.3019
Er 0.0000 0.0000 0.0000
Er 0.0000 0.5000 0.0000
Er 0.5000 0.5000 0.0000
Er 0.5000 0.0000 0.0000

The value obtained for the formation energy from the elements is 220 meV/atom.

---

Record 3
Here is a relaxed structure of SrLiZn2Ir from the Alexandria database. Energies are from PBE.

Cell lengths 4.8772, 4.8772, 4.7504 Å; angles 90.00, 90.00, 90.00 degrees
Sites, in units of the cell vectors:
Sr 0.5000 0.5000 0.5000
Zn 0.0000 0.5000 0.0000
Zn 0.5000 0.0000 0.0000
Ir 0.0000 0.0000 0.0000
Li 0.0000 0.0000 0.5000

The value obtained for the formation energy from the elements is -194 meV/atom.

---

Record 4
Here is a relaxed structure of Pr3GeI from the Alexandria database. Energies are from PBE.

Cell lengths 4.2483, 9.4153, 8.4365 Å; angles 90.00, 90.00, 90.00 degrees
Sites, in units of the cell vectors:
Pr 0.2500 0.4412 0.1627
Pr 0.7500 0.5588 0.8373
Pr 0.2500 0.0588 0.1627
Pr 0.7500 0.9412 0.8373
Pr 0.2500 0.2500 0.7485
Pr 0.7500 0.7500 0.2515
Ge 0.7500 0.2500 0.9886
Ge 0.2500 0.7500 0.0114
I 0.7500 0.2500 0.4354
I 0.2500 0.7500 0.5646

The uncorrected formation energy is -0.640 eV per atom.

---

Record 5
Here is a relaxed structure of BeHg3 from the Alexandria database. Energies are from PBE.

Cell lengths 5.3325, 5.3325, 5.3325 Å; angles 131.37, 131.37, 71.22 degrees
Sites, in units of the cell vectors:
Be 0.0000 0.0000 0.0000
Hg 0.2500 0.7500 0.5000
Hg 0.5000 0.5000 0.0000
Hg 0.7500 0.2500 0.5000

The calculation puts the distance to the lowest polymorph of the same formula at 297 meV/atom. The value obtained for the formation energy from the elements is 514 meV/atom.

---

Record 6
Here is a relaxed structure of Li2Cu4Pd5 from the Alexandria database. Energies are from PBE.

Cell lengths 2.8600, 6.7587, 15.2379 Å; angles 90.00, 90.00, 90.00 degrees
Sites, in units of the cell vectors:
Li 0.5000 0.4715 0.3052
Li 0.5000 0.5285 0.6948
Li 0.5000 0.9715 0.1948
Li 0.5000 0.0285 0.8052
Cu 0.5000 0.2858 0.5689
Cu 0.5000 0.7142 0.4311
Cu 0.5000 0.7858 0.9311
Cu 0.5000 0.2142 0.0689
Cu 0.5000 0.4169 0.8535
Cu 0.5000 0.5831 0.1465
Cu 0.5000 0.9169 0.6465
Cu 0.5000 0.0831 0.3535
Pd 0.0000 0.5000 0.0000
Pd 0.0000 0.0000 0.5000
Pd 0.0000 0.2674 0.2138
Pd 0.0000 0.7326 0.7862
Pd 0.0000 0.7674 0.2862
Pd 0.0000 0.2326 0.7138
Pd 0.0000 0.3751 0.4279
Pd 0.0000 0.6249 0.5721
Pd 0.0000 0.8751 0.0721
Pd 0.0000 0.1249 0.9279

The calculation puts the distance to the lowest polymorph of the same formula at 0 meV/atom. The value obtained for the formation energy from the elements is -176 meV/atom.

---

Record 7
Here is a relaxed structure of CaNbCu from the Alexandria database. Energies are from PBE.

Cell lengths 8.3269, 3.3885, 5.6425 Å; angles 53.15, 97.07, 101.86 degrees
Sites, in units of the cell vectors:
Ca 0.4121 0.6223 0.8946
Ca 0.1049 0.9737 0.3947
Nb 0.7366 0.2871 0.3945
Nb 0.7806 0.3093 0.8945
Cu 0.0282 0.9343 0.8947
Cu 0.4892 0.6616 0.3946

The calculation puts the distance to the lowest polymorph of the same formula at 0 meV/atom. The value obtained for the formation energy from the elements is 153 meV/atom.

---

Record 8
Here is a relaxed structure of Pm12Cd3C5 from the Alexandria database. Energies are from PBE.

Cell lengths 14.1916, 14.1916, 14.1916 Å; angles 109.47, 109.47, 109.47 degrees
Sites, in units of the cell vectors:
Cd 0.7500 0.3750 0.1250
Cd 0.8750 0.7500 0.1250
Cd 0.3750 0.7500 0.6250
Cd 0.2500 0.1250 0.3750
Cd 0.8750 0.1250 0.2500
Cd 0.3750 0.6250 0.2500
Cd 0.6250 0.3750 0.7500
Cd 0.1250 0.8750 0.7500
Cd 0.7500 0.8750 0.6250
Cd 0.6250 0.2500 0.3750
Cd 0.1250 0.2500 0.8750
Cd 0.2500 0.6250 0.8750
C 0.1250 0.3750 0.2500
C 0.0000 0.5000 0.0000
C 0.0000 0.0000 0.0000
C 0.3750 0.2500 0.1250
C 0.5000 0.0000 0.5000
C 0.5000 0.5000 0.0000
C 0.1250 0.7500 0.3750
C 0.7500 0.1250 0.8750
C 0.7500 0.6250 0.3750
C 0.3750 0.1250 0.7500
C 0.6250 0.8750 0.2500
C 0.5000 0.5000 0.5000
C 0.5000 0.0000 0.0000
C 0.0000 0.0000 0.5000
C 0.2500 0.3750 0.6250
C 0.2500 0.8750 0.1250
C 0.0000 0.5000 0.5000
C 0.8750 0.2500 0.6250
C 0.6250 0.7500 0.8750
C 0.8750 0.6250 0.7500
Pm 0.7000 0.1114 0.0165
Pm 0.3165 0.5165 0.4051
Pm 0.9835 0.3886 0.3000
Pm 0.5165 0.2000 0.1114
Pm 0.5885 0.7000 0.6835
Pm 0.9835 0.5949 0.1835
Pm 0.3165 0.8000 0.4115
Pm 0.0949 0.9115 0.1114
Pm 0.5949 0.9835 0.6835
Pm 0.7000 0.5885 0.1835
Pm 0.8000 0.4835 0.3886
Pm 0.8165 0.9051 0.0165
Pm 0.1114 0.7000 0.5165
Pm 0.3886 0.4051 0.0885
Pm 0.0885 0.9051 0.3886
Pm 0.4115 0.1114 0.5949
Pm 0.0885 0.1835 0.2000
Pm 0.4835 0.6835 0.0949
Pm 0.8165 0.9115 0.3000
Pm 0.1114 0.4115 0.0949
Pm 0.3886 0.9835 0.8000
Pm 0.5949 0.6114 0.4115
Pm 0.9051 0.8165 0.5165
Pm 0.8000 0.3165 0.9115
Pm 0.4051 0.3886 0.5885
Pm 0.0949 0.1835 0.4835
Pm 0.2000 0.6835 0.0885
Pm 0.1835 0.0885 0.7000
Pm 0.6114 0.0165 0.2000
Pm 0.8886 0.5885 0.9051
Pm 0.5165 0.3165 0.9051
Pm 0.5885 0.8886 0.4051
Pm 0.9115 0.8165 0.8000
Pm 0.9115 0.0949 0.6114
Pm 0.8886 0.3000 0.4835
Pm 0.1835 0.0949 0.9835
Pm 0.6114 0.5949 0.9115
Pm 0.4051 0.0165 0.3165
Pm 0.3000 0.4115 0.8165
Pm 0.2000 0.5165 0.6114
Pm 0.9051 0.0885 0.8886
Pm 0.6835 0.2000 0.5885
Pm 0.4835 0.8000 0.8886
Pm 0.0165 0.4051 0.8165
Pm 0.4115 0.3000 0.3165
Pm 0.0165 0.6114 0.7000
Pm 0.6835 0.4835 0.5949
Pm 0.3000 0.8886 0.9835

The value obtained for the formation energy from the elements is 20 meV/atom.

---

Record 9
Here is a relaxed structure of KAl2Ir from the Alexandria database. Energies are from PBE.

Cell lengths 4.7339, 4.7339, 4.7339 Å; angles 120.09, 120.09, 89.84 degrees
Sites, in units of the cell vectors:
K 0.7500 0.2500 0.5000
Ir 0.5000 0.5000 0.0000
Al 0.0000 0.0000 0.0000
Al 0.2500 0.7500 0.5000

The calculation puts the distance to the lowest polymorph of the same formula at 772 meV/atom. The value obtained for the formation energy from the elements is 570 meV/atom.

---

Record 10
Here is a relaxed structure of Ba2Tl6Ga from the Alexandria database. Energies are from PBE.

Cell lengths 6.4953, 7.1899, 7.1899 Å; angles 60.00, 90.00, 90.00 degrees
Sites, in units of the cell vectors:
Ba 0.8280 0.6667 0.6667
Ba 0.1720 0.3333 0.3333
Tl 0.3171 0.3462 0.8268
Tl 0.3172 0.8269 0.8269
Tl 0.3171 0.8268 0.3462
Tl 0.6829 0.6538 0.1732
Tl 0.6828 0.1731 0.1731
Tl 0.6829 0.1732 0.6538
Ga 0.0000 0.0000 0.0000

The value obtained for the formation energy from the elements is -260 meV/atom.

---

Record 11
Here is a relaxed structure of TlTe2W from the Alexandria database. Energies are from PBE.

Cell lengths 5.1305, 5.1305, 5.1305 Å; angles 60.00, 60.00, 60.00 degrees
Site moments in Bohr magnetons follow the coordinates.
Sites, in units of the cell vectors:
Te 0.0000 0.0000 0.0000  -0.02
Te 0.7500 0.7500 0.7500  -0.06
Tl 0.5000 0.5000 0.5000  0.02
W 0.2500 0.2500 0.2500  0.94

The uncorrected formation energy is 1.158 eV per atom. The calculation puts the distance to the lowest polymorph of the same formula at 1052 meV/atom.

---

Record 12
Here is a relaxed structure of CaPuSc2S4 from the Alexandria database. Energies are from PBE.

Cell lengths 3.8190, 6.6689, 6.6408 Å; angles 70.71, 90.00, 90.00 degrees
Site moments in Bohr magnetons follow the coordinates.
Sites, in units of the cell vectors:
Ca 0.0000 0.5000 0.5000  0.03
Pu 0.5000 0.5000 0.0000  5.36
Sc 0.0000 0.0000 0.0000  0.10
Sc 0.5000 0.0000 0.5000  0.01
S 0.0000 0.7686 0.7436  -0.04
S 0.0000 0.2314 0.2564  -0.04
S 0.5000 0.7698 0.2443  -0.02
S 0.5000 0.2302 0.7557  -0.02

The uncorrected formation energy is -1.890 eV per atom.